VASP calculation (GGA-PBE) on Cs8Rb3F2 after structural relaxation.

The total magnetization comes out at 0.0 μB per formula unit. For the uncorrected formation energy, the calculation gives -798 meV/atom.

It has space group R-3m (No. 166, hexagonal axes), with a = 10.1046 Å, b = 10.1046 Å, c = 39.3279 Å, α = 90.00°, β = 90.00° and γ = 120.00°. The inequivalent atoms are Cs at (0.0000, 0.0000, 0.1684), Cs at (0.0320, 0.5160, 0.7356), Rb at (0.0000, 0.0000, 0.3002), Rb at (0.0000, 0.0000, 0.5000) and F at (0.0000, 0.0000, 0.0955).

---

VASP calculation (GGA-PBE) on PmSc2I6 after structural relaxation.

The value obtained for the energy above the lowest structure with this stoichiometry is 0.000 eV per atom. The total magnetization comes out at 0.0 μB per formula unit. For the uncorrected formation energy, the calculation gives -1168 meV/atom.

It has space group C2/m (No. 12), with a = 16.9128 Å, b = 4.0962 Å, c = 11.3017 Å, α = 90.00°, β = 116.69° and γ = 90.00°. The inequivalent atoms are Pm at (0.0000, 0.0000, 0.0000), Sc at (0.1532, 0.5000, 0.3099), I at (0.0235, 0.0000, 0.2932), I at (0.1545, 0.5000, 0.0545) and I at (0.2029, 0.5000, 0.6072).